[1]
The following is a PBE calculation of a geometry-optimized NaCdHg structure, from the Alexandria database.

Cell: 4.4347 4.4347 16.2528 Å, 90.00 90.00 90.00°
Space group I4/mmm (No. 139)
Symmetry-distinct sites (fractional):
Na1 0.0000 0.0000 0.1738 (multiplicity 4)
Cd1 0.0000 0.5000 0.0000 (multiplicity 4)
Hg1 0.0000 0.0000 0.3650 (multiplicity 4)

Properties
Relative energy among the computed polymorphs   23.6 meV/atom
E_form   -0.48 eV per formula unit
Total magnetization   0.00 Bohr magnetons per cell

[2]
The following is a PBE calculation of a geometry-optimized Na3Cd4Hg2 structure, from the Alexandria database.

Cell: 10.9839 5.1081 9.4737 Å, 90.00 123.28 90.00°
Space group C2/m (No. 12)
Symmetry-distinct sites (fractional):
Na1 0.0000 0.0000 0.0000 (multiplicity 2)
Na2 0.1683 0.5000 0.6648 (multiplicity 4)
Cd1 0.0535 0.0000 0.3871 (multiplicity 4)
Cd2 0.2225 0.5000 0.0540 (multiplicity 4)
Hg1 0.1103 0.5000 0.2773 (multiplicity 4)

Properties
E_form   -1.44 eV per formula unit
Total magnetization   0.00 Bohr magnetons per cell

Number 1: E -1.01 eV/atom. Number 2: E -1.07 eV/atom.